Entry 1:
Here is a geometry-optimized Yb2Se3 structure from Alexandria via LeMat-Bulk. Energies are from PBE.

Cell lengths 13.573, 12.965, 7.063 Å; angles 79.38, 69.86, 30.76 degrees
Positions (direct):
Se1 0.176 0.662 0.318
Se2 0.239 0.761 0.761
Se3 0.932 0.406 0.074
Se4 0.074 0.588 0.932
Se5 0.489 0.011 0.011
Se6 0.011 0.489 0.489
Se7 0.318 0.844 0.176
Se8 0.588 0.074 0.406
Se9 0.844 0.318 0.662
Se10 0.406 0.932 0.588
Se11 0.761 0.239 0.239
Se12 0.662 0.176 0.844
Yb1 0.996 0.996 0.504
Yb2 0.165 0.165 0.335
Yb3 0.085 0.085 0.915
Yb4 0.746 0.746 0.254
Yb5 0.504 0.504 0.996
Yb6 0.915 0.915 0.085
Yb7 0.335 0.335 0.165
Yb8 0.254 0.254 0.746

Output
E_form (uncorrected): -1.48 eV/atom
N(E_F): 82.9 states/eV/cell
Magnetization: 0.01 μB/f.u.
Total DFT energy (no corrections): -83.53 eV/cell

Entry 2:
Here is a geometry-optimized YbSe2 structure from Alexandria via LeMat-Bulk. Energies are from PBE.

Cell lengths 3.990, 3.990, 8.844 Å; angles 90.00, 90.00, 90.00 degrees
Positions (direct):
Se1 0.750 0.750 0.370
Se2 0.250 0.750 0.000
Se3 0.250 0.250 0.630
Se4 0.750 0.250 0.000
Yb1 0.250 0.250 0.288
Yb2 0.750 0.750 0.712

Output
E_form (uncorrected): -1.22 eV/atom
N(E_F): 3.8 states/eV/cell
Magnetization: 0.00 μB/f.u.
Total DFT energy (no corrections): -24.30 eV/cell

What did the first record say?
Here is a geometry-optimized Yb2Se3 structure from Alexandria via LeMat-Bulk. Energies are from PBE.

Cell lengths 13.573, 12.965, 7.063 Å; angles 79.38, 69.86, 30.76 degrees
Positions (direct):
Se1 0.176 0.662 0.318
Se2 0.239 0.761 0.761
Se3 0.932 0.406 0.074
Se4 0.074 0.588 0.932
Se5 0.489 0.011 0.011
Se6 0.011 0.489 0.489
Se7 0.318 0.844 0.176
Se8 0.588 0.074 0.406
Se9 0.844 0.318 0.662
Se10 0.406 0.932 0.588
Se11 0.761 0.239 0.239
Se12 0.662 0.176 0.844
Yb1 0.996 0.996 0.504
Yb2 0.165 0.165 0.335
Yb3 0.085 0.085 0.915
Yb4 0.746 0.746 0.254
Yb5 0.504 0.504 0.996
Yb6 0.915 0.915 0.085
Yb7 0.335 0.335 0.165
Yb8 0.254 0.254 0.746

Output
E_form (uncorrected): -1.48 eV/atom
N(E_F): 82.9 states/eV/cell
Magnetization: 0.01 μB/f.u.
Total DFT energy (no corrections): -83.53 eV/cell